# PBE CeTlNiPt, relaxed
# **Energy relative to the elements**: -9.5 kcal/mol of atoms
# **Magnetic moment**: 0.00 μB/atom
# **DFT total energy**: -87.1 eV per cell
data_CeTlNiPt
_chemical_formula_sum 'Ce4 Tl4 Ni4 Pt4'
_cell_length_a 6.8350
_cell_length_b 6.8350
_cell_length_c 6.8350
_cell_angle_alpha 90.00
_cell_angle_beta 90.00
_cell_angle_gamma 90.00
_symmetry_space_group_name_H-M 'F -4 3 m'
_symmetry_Int_Tables_number 216
_symmetry_space_group_name_Hall 'F -4 2 3'
loop_
_atom_site_label
_atom_site_fract_x
_atom_site_fract_y
_atom_site_fract_z
_atom_site_occupancy
Ce1 0.0000 0.0000 0.0000 1
Tl1 0.0000 0.0000 0.5000 1
Ni1 0.2500 0.2500 0.2500 1
Pt1 0.2500 0.2500 0.7500 1